No. 1
# CdP2NCl | Alexandria via LeMat-Bulk | PBE-GGA | optimized geometry
# - E_form (uncorrected): 49.0 kcal/mol of atoms
data_CdP2NCl
_chemical_formula_sum 'Cd1 P2 N1 Cl1'
_cell_length_a 5.0568
_cell_length_b 5.0568
_cell_length_c 4.9875
_cell_angle_alpha 90.00
_cell_angle_beta 90.00
_cell_angle_gamma 90.00
_symmetry_space_group_name_H-M 'P 4/m m m'
_symmetry_Int_Tables_number 123
_symmetry_space_group_name_Hall '-P 4 2'
loop_
_atom_site_label
_atom_site_fract_x
_atom_site_fract_y
_atom_site_fract_z
Cd1 0.0000 0.0000 0.0000
P1 0.0000 0.5000 0.0000
N1 0.5000 0.5000 0.5000
Cl1 0.0000 0.0000 0.5000

***

No. 2
# LuCuGe | Alexandria via LeMat-Bulk | PBE-GGA | optimized geometry
# - Energy of formation from the pure elements: -0.617 eV/atom
data_LuCuGe
_chemical_formula_sum 'Lu1 Cu1 Ge1'
_cell_length_a 4.1777
_cell_length_b 4.1777
_cell_length_c 3.6224
_cell_angle_alpha 90.00
_cell_angle_beta 90.00
_cell_angle_gamma 120.00
_symmetry_space_group_name_H-M 'P -6 m 2'
_symmetry_Int_Tables_number 187
_symmetry_space_group_name_Hall 'P -6 2'
loop_
_atom_site_label
_atom_site_fract_x
_atom_site_fract_y
_atom_site_fract_z
Lu1 0.0000 0.0000 0.0000
Cu1 0.3333 0.6667 0.5000
Ge1 0.6667 0.3333 0.5000

***

Number 1: DOS at the Fermi energy 1.84 states/eV per atom, V 127.5 Å³/cell. Number 2: DOS at the Fermi energy 0.25 states/eV per atom, V 54.8 Å³/cell.